1:
Below is VAuI2N after structural relaxation, with properties calculated at the PBE level.

Calculated values
- Fermi-level density of states: 0.2528 states/eV/atom
- Total magnetization: 0.88 μB per cell

Geometry as CIF:
```
data_VAuI2N
_chemical_formula_sum 'V1 Au1 I2 N1'
_cell_length_a 5.581
_cell_length_b 5.581
_cell_length_c 3.669
_cell_angle_alpha 90.00
_cell_angle_beta 90.00
_cell_angle_gamma 90.00
_space_group_name_H-M_alt 'P 4/m m m'
_space_group_IT_number 123
_space_group_name_Hall '-P 4 2'
loop_
_atom_site_label
_atom_site_fract_x
_atom_site_fract_y
_atom_site_fract_z
_atom_site_occupancy
V1 0.000 0.000 0.000 1
Au1 0.500 0.500 0.500 1
I1 0.000 0.500 0.000 1
N1 0.000 0.000 0.500 1
```

2:
Below is VAuI2N after structural relaxation, with properties calculated at the PBE level.

Calculated values
- Fermi-level density of states: 1.3210 states/eV/atom
- Total magnetization: 0.50 μB per cell

Geometry as CIF:
```
data_VAuI2N
_chemical_formula_sum 'V1 Au1 I2 N1'
_cell_length_a 5.968
_cell_length_b 5.968
_cell_length_c 3.781
_cell_angle_alpha 90.00
_cell_angle_beta 90.00
_cell_angle_gamma 90.00
_space_group_name_H-M_alt 'P 4/m m m'
_space_group_IT_number 123
_space_group_name_Hall '-P 4 2'
loop_
_atom_site_label
_atom_site_fract_x
_atom_site_fract_y
_atom_site_fract_z
_atom_site_occupancy
V1 0.000 0.000 0.000 1
Au1 0.500 0.500 0.500 1
I1 0.000 0.500 0.500 1
N1 0.500 0.500 0.000 1
```

Stability ranking, top entry: 1; the second entry is 1.119 eV/atom less favorable.